No. 1
VASP calculation (PBE) on HgGeBi after structural relaxation.

- SG = P3m1
- energy relative to the lowest polymorph listed for this composition (meV/atom) = 118
- energy of formation from the pure elements (meV per atom) = 242

Cell lengths 3.3259, 5.2087, 5.2087 Å; angles 120.00, 90.00, 90.00 degrees
With the nearest neighbours (Å) after each atom.
Sites, in units of the cell vectors:
Ge 0.3391 0.6667 0.3333  3 Bi 3.13, 3 Hg 3.15, 2 Ge 3.33
Bi 0.6002 0.3333 0.6667  3 Ge 3.13, 2 Bi 3.33, 6 Hg 3.37-3.50
Hg 0.0606 0.0000 0.0000  3 Ge 3.15, 2 Hg 3.33, 6 Bi 3.37-3.50

=====

No. 2
VASP calculation (PBE) on CaSnIrRh after structural relaxation.

- SG = F-43m
- energy of formation from the pure elements (meV per atom) = -390

Cell lengths 4.6657, 4.6657, 4.6657 Å; angles 60.00, 60.00, 60.00 degrees
With the nearest neighbours (Å) after each atom.
Sites, in units of the cell vectors:
Ca 0.7500 0.7500 0.7500  4 Ir 2.86, 4 Rh 2.86
Ir 0.5000 0.5000 0.5000  4 Sn 2.86, 4 Ca 2.86
Rh 0.0000 0.0000 0.0000  4 Sn 2.86, 4 Ca 2.86
Sn 0.2500 0.2500 0.2500  4 Rh 2.86, 4 Ir 2.86

=====

No. 3
VASP calculation (PBE) on VBiOs2Ru after structural relaxation.

- SG = P4/mmm
- energy of formation from the pure elements (meV per atom) = 1505

Cell lengths 4.7683, 4.5388, 4.7683 Å; angles 90.00, 90.00, 90.00 degrees
With the nearest neighbours (Å) after each atom.
Sites, in units of the cell vectors:
Ru 0.0000 0.0000 0.0000  2 V 2.27, 4 Os 2.38
Os 0.0000 0.0000 0.5000  2 Ru 2.38
Os 0.5000 0.0000 0.0000  2 Ru 2.38
Bi 0.5000 0.5000 0.5000  8 Os 3.29, 4 V 3.37
V 0.0000 0.5000 0.0000  2 Ru 2.27

=====

No. 4
VASP calculation (PBE) on ScAl2Ga2 after structural relaxation.

- SG = P4/mbm
- energy of formation from the pure elements (meV per atom) = -188

Cell lengths 7.5039, 7.5039, 3.2295 Å; angles 90.00, 90.00, 90.00 degrees
With the nearest neighbours (Å) after each atom.
Sites, in units of the cell vectors:
Sc 0.0000 0.0000 0.0000  4 Ga 2.92, 2 Sc 3.23, 8 Al 3.24
Sc 0.5000 0.5000 0.0000  4 Ga 2.92, 2 Sc 3.23, 8 Al 3.24
Al 0.1618 0.6617 0.5000  6 Ga 2.70-2.76
Al 0.6617 0.8382 0.5000  6 Ga 2.70-2.76
Al 0.8382 0.3382 0.5000  6 Ga 2.70-2.76
Al 0.3382 0.1618 0.5000  6 Ga 2.70-2.76
Ga 0.3652 0.8652 0.0000  6 Al 2.70-2.76, 1 Ga 2.86, 2 Sc 2.92
Ga 0.8652 0.6348 0.0000  6 Al 2.70-2.76, 1 Ga 2.86, 2 Sc 2.92
Ga 0.6348 0.1348 0.0000  6 Al 2.70-2.76, 1 Ga 2.86, 2 Sc 2.92
Ga 0.1348 0.3652 0.0000  6 Al 2.70-2.76, 1 Ga 2.86, 2 Sc 2.92

=====

No. 5
VASP calculation (PBE) on TlBi12Au7 after structural relaxation.

- SG = R-3
- energy of formation from the pure elements (meV per atom) = 7

Cell lengths 7.9896, 9.4306, 9.4306 Å; angles 67.64, 73.60, 106.40 degrees
With the nearest neighbours (Å) after each atom.
Sites, in units of the cell vectors:
Tl 0.0000 0.0000 0.0000  6 Au 3.21
Bi 0.8027 0.5100 0.1673  3 Au 2.92-3.07
Bi 0.0300 0.8327 0.6773  3 Au 2.92-3.07
Bi 0.4315 0.2833 0.0828  4 Au 2.89-3.20
Bi 0.4857 0.9172 0.3661  4 Au 2.89-3.20
Bi 0.7073 0.6773 0.4900  3 Au 2.92-3.07
Bi 0.8518 0.3661 0.7167  4 Au 2.89-3.20
Bi 0.1482 0.6339 0.2833  4 Au 2.89-3.20
Bi 0.2927 0.3227 0.5100  3 Au 2.92-3.07
Bi 0.5143 0.0828 0.6339  4 Au 2.89-3.20
Bi 0.5685 0.7167 0.9172  4 Au 2.89-3.20
Bi 0.9700 0.1673 0.3227  3 Au 2.92-3.07
Bi 0.1973 0.4900 0.8327  3 Au 2.92-3.07
Au 0.8002 0.2309 0.0751  6 Bi 2.89-3.11, 1 Au 3.19, 1 Tl 3.21
Au 0.1247 0.9249 0.3060  6 Bi 2.89-3.11, 1 Au 3.19, 1 Tl 3.21
Au 0.4308 0.3060 0.7691  6 Bi 2.89-3.11, 1 Au 3.19, 1 Tl 3.21
Au 0.5000 0.0000 0.0000  6 Au 3.19, 6 Bi 3.20
Au 0.5692 0.6940 0.2309  6 Bi 2.89-3.11, 1 Au 3.19, 1 Tl 3.21
Au 0.8753 0.0751 0.6940  6 Bi 2.89-3.11, 1 Au 3.19, 1 Tl 3.21
Au 0.1998 0.7691 0.9249  6 Bi 2.89-3.11, 1 Au 3.19, 1 Tl 3.21

=====

No. 6
VASP calculation (PBE) on K12Sr3Cl5 after structural relaxation.

- SG = Ia-3d
- energy relative to the elements, uncorrected (eV/f.u.) = -14.51

Cell lengths 18.3662, 18.3662, 18.3662 Å; angles 109.47, 109.47, 109.47 degrees
With the nearest neighbours (Å) after each atom.
Sites, in units of the cell vectors:
Sr 0.7500 0.3750 0.1250  8 K 4.38-4.47
Sr 0.8750 0.7500 0.1250  8 K 4.38-4.47
Sr 0.3750 0.7500 0.6250  8 K 4.38-4.47
Sr 0.2500 0.1250 0.3750  8 K 4.38-4.47
Sr 0.8750 0.1250 0.2500  8 K 4.38-4.47
Sr 0.3750 0.6250 0.2500  8 K 4.38-4.47
Sr 0.6250 0.3750 0.7500  8 K 4.38-4.47
Sr 0.1250 0.8750 0.7500  8 K 4.38-4.47
Sr 0.7500 0.8750 0.6250  8 K 4.38-4.47
Sr 0.6250 0.2500 0.3750  8 K 4.38-4.47
Sr 0.1250 0.2500 0.8750  8 K 4.38-4.47
Sr 0.2500 0.6250 0.8750  8 K 4.38-4.47
Cl 0.1250 0.3750 0.2500  4 K 3.03
Cl 0.0000 0.5000 0.0000  6 K 3.26
Cl 0.0000 0.0000 0.0000  6 K 3.26
Cl 0.3750 0.2500 0.1250  4 K 3.03
Cl 0.5000 0.0000 0.5000  6 K 3.26
Cl 0.5000 0.5000 0.0000  6 K 3.26
Cl 0.1250 0.7500 0.3750  4 K 3.03
Cl 0.7500 0.1250 0.8750  4 K 3.03
Cl 0.7500 0.6250 0.3750  4 K 3.03
Cl 0.3750 0.1250 0.7500  4 K 3.03
Cl 0.6250 0.8750 0.2500  4 K 3.03
Cl 0.5000 0.5000 0.5000  6 K 3.26
Cl 0.5000 0.0000 0.0000  6 K 3.26
Cl 0.0000 0.0000 0.5000  6 K 3.26
Cl 0.2500 0.3750 0.6250  4 K 3.03
Cl 0.2500 0.8750 0.1250  4 K 3.03
Cl 0.0000 0.5000 0.5000  6 K 3.26
Cl 0.8750 0.2500 0.6250  4 K 3.03
Cl 0.6250 0.7500 0.8750  4 K 3.03
Cl 0.8750 0.6250 0.7500  4 K 3.03
K 0.6849 0.0959 0.0000  2 Cl 3.03-3.26
K 0.3151 0.5000 0.4041  2 Cl 3.03-3.26
K 0.0000 0.4041 0.3151  2 Cl 3.03-3.26
K 0.5000 0.1849 0.0959  2 Cl 3.03-3.26
K 0.5890 0.6849 0.6849  2 Cl 3.03-3.26
K 0.0000 0.5959 0.1849  2 Cl 3.03-3.26
K 0.3151 0.8151 0.4110  2 Cl 3.03-3.26
K 0.0959 0.9110 0.0959  2 Cl 3.03-3.26
K 0.5959 0.0000 0.6849  2 Cl 3.03-3.26
K 0.6849 0.5890 0.1849  2 Cl 3.03-3.26
K 0.8151 0.5000 0.4041  2 Cl 3.03-3.26
K 0.8151 0.9041 0.0000  2 Cl 3.03-3.26
K 0.0959 0.6849 0.5000  2 Cl 3.03-3.26
K 0.4041 0.4041 0.0890  2 Cl 3.03-3.26
K 0.0890 0.9041 0.4041  2 Cl 3.03-3.26
K 0.4110 0.0959 0.5959  2 Cl 3.03-3.26
K 0.0890 0.1849 0.1849  2 Cl 3.03-3.26
K 0.5000 0.6849 0.0959  2 Cl 3.03-3.26
K 0.8151 0.9110 0.3151  2 Cl 3.03-3.26
K 0.0959 0.4110 0.0959  2 Cl 3.03-3.26
K 0.4041 0.0000 0.8151  2 Cl 3.03-3.26
K 0.5959 0.5959 0.4110  2 Cl 3.03-3.26
K 0.9041 0.8151 0.5000  2 Cl 3.03-3.26
K 0.8151 0.3151 0.9110  2 Cl 3.03-3.26
K 0.4041 0.4041 0.5890  2 Cl 3.03-3.26
K 0.0959 0.1849 0.5000  2 Cl 3.03-3.26
K 0.1849 0.6849 0.0890  2 Cl 3.03-3.26
K 0.1849 0.0890 0.6849  2 Cl 3.03-3.26
K 0.5959 0.0000 0.1849  2 Cl 3.03-3.26
K 0.9041 0.5890 0.9041  2 Cl 3.03-3.26
K 0.5000 0.3151 0.9041  2 Cl 3.03-3.26
K 0.5890 0.9041 0.4041  2 Cl 3.03-3.26
K 0.9110 0.8151 0.8151  2 Cl 3.03-3.26
K 0.9110 0.0959 0.5959  2 Cl 3.03-3.26
K 0.9041 0.3151 0.5000  2 Cl 3.03-3.26
K 0.1849 0.0959 0.0000  2 Cl 3.03-3.26
K 0.5959 0.5959 0.9110  2 Cl 3.03-3.26
K 0.4041 0.0000 0.3151  2 Cl 3.03-3.26
K 0.3151 0.4110 0.8151  2 Cl 3.03-3.26
K 0.1849 0.5000 0.5959  2 Cl 3.03-3.26
K 0.9041 0.0890 0.9041  2 Cl 3.03-3.26
K 0.6849 0.1849 0.5890  2 Cl 3.03-3.26
K 0.5000 0.8151 0.9041  2 Cl 3.03-3.26
K 0.0000 0.4041 0.8151  2 Cl 3.03-3.26
K 0.4110 0.3151 0.3151  2 Cl 3.03-3.26
K 0.0000 0.5959 0.6849  2 Cl 3.03-3.26
K 0.6849 0.5000 0.5959  2 Cl 3.03-3.26
K 0.3151 0.9041 0.0000  2 Cl 3.03-3.26

=====

No. 7
VASP calculation (PBE) on Y2TiPbN after structural relaxation.

- SG = P4/mmm
- energy relative to the elements, uncorrected (eV/f.u.) = -4.40

Cell lengths 4.9619, 4.9619, 4.1538 Å; angles 90.00, 90.00, 90.00 degrees
With the nearest neighbours (Å) after each atom.
Sites, in units of the cell vectors:
Pb 0.5000 0.5000 0.5000  8 Y 3.24, 4 Ti 3.51
Y 0.0000 0.5000 0.0000  2 N 2.48
Y 0.5000 0.0000 0.0000  2 N 2.48
N 0.0000 0.0000 0.0000  2 Ti 2.08
Ti 0.0000 0.0000 0.5000  2 N 2.08